Entry 1:
Density functional theory data (PBE) for Dy4CdRu2Rh after structural relaxation.

abc: 4.917 4.917 8.544
angles: 73.28 73.28 60.00
Element x y z (fractional)
Dy 0.381 0.381 0.858
Dy 0.871 0.871 0.386
Dy 0.129 0.129 0.614
Dy 0.619 0.619 0.142
Cd 0.000 0.000 0.000
Ru 0.749 0.749 0.753
Ru 0.251 0.251 0.247
Rh 0.500 0.500 0.500

Summary:
crystal system	trigonal
magnetic moment	0.0	μB/f.u.
symmetry	R-3m (166)
ΔH_f (0 K)	-480	meV/atom



Entry 2:
Density functional theory data (PBE) for DyScCdRh after structural relaxation.

abc: 4.920 4.920 4.920
angles: 60.00 60.00 60.00
Element x y z (fractional)
Sc 0.750 0.750 0.750
Cd 0.500 0.500 0.500
Rh 0.000 0.000 0.000
Dy 0.250 0.250 0.250

Summary:
crystal system	cubic
magnetic moment	0.0	μB/f.u.
symmetry	F-43m (216)
ΔH_f (0 K)	-525	meV/atom



Entry 3:
Density functional theory data (PBE) for DyScCdRh after structural relaxation.

abc: 3.405 3.405 7.354
angles: 90.00 90.00 90.00
Element x y z (fractional)
Dy 0.500 0.500 0.788
Sc 0.500 0.500 0.354
Cd 0.000 0.000 0.093
Rh 0.000 0.000 0.550

Summary:
crystal system	tetragonal
magnetic moment	0.0	μB/f.u.
symmetry	P4mm (99)
ΔH_f (0 K)	-628	meV/atom



Entry 4:
Density functional theory data (PBE) for Dy2CdSi2Rh5 after structural relaxation.

abc: 3.490 9.834 9.834
angles: 90.00 90.00 90.00
Element x y z (fractional)
Dy 0.000 0.675 0.175
Dy 0.000 0.325 0.825
Dy 0.000 0.175 0.325
Dy 0.000 0.825 0.675
Cd 0.000 0.000 0.000
Cd 0.000 0.500 0.500
Si 0.000 0.124 0.624
Si 0.000 0.876 0.376
Si 0.000 0.624 0.876
Si 0.000 0.376 0.124
Rh 0.500 0.218 0.069
Rh 0.500 0.782 0.931
Rh 0.500 0.069 0.782
Rh 0.500 0.718 0.431
Rh 0.500 0.931 0.218
Rh 0.500 0.282 0.569
Rh 0.500 0.569 0.718
Rh 0.500 0.431 0.282
Rh 0.500 0.500 0.000
Rh 0.500 0.000 0.500

Summary:
crystal system	tetragonal
formation energy from raw total energies	-9.08	eV per formula unit
magnetic moment	0.0	μB/f.u.
symmetry	P4/mbm (127)



Entry 5:
Density functional theory data (PBE) for SmDy2CdRh4 after structural relaxation.

abc: 4.795 4.795 8.290
angles: 73.19 73.19 60.00
Element x y z (fractional)
Sm 0.000 0.000 0.000
Dy 0.757 0.757 0.728
Dy 0.243 0.243 0.272
Cd 0.500 0.500 0.500
Rh 0.376 0.376 0.872
Rh 0.877 0.877 0.368
Rh 0.123 0.123 0.632
Rh 0.624 0.624 0.128

Summary:
crystal system	trigonal
magnetic moment	0.0	μB/f.u.
symmetry	R-3m (166)
ΔH_f (0 K)	-705	meV/atom



Entry 6:
Density functional theory data (PBE) for DyCdSnRh after structural relaxation.

abc: 4.888 4.888 4.888
angles: 60.00 60.00 60.00
Element x y z (fractional)
Cd 0.000 0.000 0.000
Rh 0.500 0.500 0.500
Sn 0.750 0.750 0.750
Dy 0.250 0.250 0.250

Summary:
crystal system	cubic
magnetic moment	0.0	μB/f.u.
symmetry	F-43m (216)
ΔH_f (0 K)	-434	meV/atom



Which value of magnetic moment does entry 6 give?
0.0 μB/f.u.